# 1
DFT (PBE) results for a relaxed ZrAlCuTc crystal.

Values from the calculation:
SG: F-43m (216)
Excess energy over the best structure of this formula in the dataset (eV per formula unit): 0.000
Energy (eV/atom): -6.83
Mass density (Mg/m³): 7.3

a b c (Å): 4.4716 4.4716 4.4716
angles (deg): 60.00 60.00 60.00
Fractional coordinates of all 4 atoms:
1 Tc 0.2500 0.2500 0.2500
2 Cu 0.7500 0.7500 0.7500
3 Al 0.0000 0.0000 0.0000
4 Zr 0.5000 0.5000 0.5000

***

# 2
DFT (PBE) results for a relaxed KSn5Ir3 crystal.

Values from the calculation:
SG: P6/mmm (191)
Energy (eV/atom): -5.45
Mass density (Mg/m³): 8.5

a b c (Å): 5.6152 5.6152 8.6451
angles (deg): 90.00 90.00 120.00
Fractional coordinates of all 9 atoms:
1 Sn 0.6667 0.3333 0.2405
2 Sn 0.3333 0.6667 0.2405
3 Sn 0.0000 0.0000 0.5000
4 Sn 0.3333 0.6667 0.7595
5 Sn 0.6667 0.3333 0.7595
6 Ir 0.5000 0.5000 0.5000
7 Ir 0.5000 0.0000 0.5000
8 Ir 0.0000 0.5000 0.5000
9 K 0.0000 0.0000 0.0000

***

# 3
DFT (PBE) results for a relaxed NdCoC2 crystal.

Values from the calculation:
SG: Cc (9)
Energy (eV/atom): -7.85
Mass density (Mg/m³): 7.3

a b c (Å): 3.7917 3.7917 7.3908
angles (deg): 98.21 98.21 90.06
Fractional coordinates of all 8 atoms:
1 Nd 0.9271 0.0726 0.5011
2 Nd 0.0726 0.9271 0.0011
3 Co 0.3730 0.5124 0.3083
4 Co 0.5124 0.3730 0.8083
5 C 0.4424 0.5950 0.5755
6 C 0.4896 0.8532 0.7286
7 C 0.8532 0.4896 0.2286
8 C 0.5950 0.4424 0.0755

***

# 4
DFT (PBE) results for a relaxed TmSnTe3Au crystal.

Values from the calculation:
SG: Pnma (62)
Excess energy over the best structure of this formula in the dataset (eV per formula unit): 0.026
Energy (eV/atom): -4.16
Mass density (Mg/m³): 8.3

a b c (Å): 11.0900 4.2654 14.6470
angles (deg): 90.00 90.00 90.00
Fractional coordinates of all 24 atoms:
1 Te 0.9308 0.2500 0.5964
2 Te 0.5351 0.2500 0.6085
3 Te 0.4308 0.2500 0.9036
4 Te 0.4649 0.7500 0.3915
5 Te 0.2311 0.7500 0.6541
6 Te 0.9649 0.7500 0.1085
7 Te 0.5692 0.7500 0.0964
8 Te 0.0351 0.2500 0.8915
9 Te 0.7311 0.7500 0.8459
10 Te 0.0692 0.7500 0.4036
11 Te 0.7689 0.2500 0.3459
12 Te 0.2689 0.2500 0.1541
13 Au 0.7468 0.2500 0.7204
14 Au 0.7532 0.7500 0.2204
15 Au 0.2468 0.2500 0.7796
16 Au 0.2532 0.7500 0.2796
17 Tm 0.5224 0.2500 0.2437
18 Tm 0.4776 0.7500 0.7563
19 Tm 0.9776 0.7500 0.7437
20 Tm 0.0224 0.2500 0.2563
21 Sn 0.7783 0.2500 0.0236
22 Sn 0.2217 0.7500 0.9764
23 Sn 0.2783 0.2500 0.4764
24 Sn 0.7217 0.7500 0.5236

***

# 5
DFT (PBE) results for a relaxed ScCoTcPb crystal.

Values from the calculation:
SG: F-43m (216)
Excess energy over the best structure of this formula in the dataset (eV per formula unit): 0.000
Energy (eV/atom): -6.76
Mass density (Mg/m³): 10.1

a b c (Å): 4.5639 4.5639 4.5639
angles (deg): 60.00 60.00 60.00
Fractional coordinates of all 4 atoms:
1 Tc 0.2500 0.2500 0.2500
2 Pb 0.0000 0.0000 0.0000
3 Co 0.7500 0.7500 0.7500
4 Sc 0.5000 0.5000 0.5000

***

# 6
DFT (PBE) results for a relaxed PmNpW crystal.

Values from the calculation:
SG: F-43m (216)
Formation enthalpy at 0 K (eV/atom): 1.508
Energy (eV/atom): -8.65
Mass density (Mg/m³): 13.2

a b c (Å): 4.6567 4.6567 4.6567
angles (deg): 60.00 60.00 60.00
Fractional coordinates of all 3 atoms:
1 W 0.7500 0.7500 0.7500
2 Np 0.0000 0.0000 0.0000
3 Pm 0.2500 0.2500 0.2500

***

# 7
DFT (PBE) results for a relaxed CsNbTeO crystal.

Values from the calculation:
SG: P4/nmm (129)
Excess energy over the best structure of this formula in the dataset (eV per formula unit): 1.872
Energy (eV/atom): -5.37
Mass density (Mg/m³): 5.5

a b c (Å): 4.4229 4.4229 11.3563
angles (deg): 90.00 90.00 90.00
Fractional coordinates of all 8 atoms:
1 Te 0.7500 0.7500 0.2486
2 Te 0.2500 0.2500 0.7514
3 Cs 0.7500 0.2500 0.5000
4 Cs 0.2500 0.7500 0.5000
5 Nb 0.7500 0.7500 0.0164
6 Nb 0.2500 0.2500 0.9836
7 O 0.7500 0.2500 0.0000
8 O 0.2500 0.7500 0.0000

***

# 8
DFT (PBE) results for a relaxed NdScO3 crystal.

Values from the calculation:
SG: P4mm (99)
Energy (eV/atom): -8.00
Mass density (Mg/m³): 5.0

a b c (Å): 3.7325 3.7325 5.6723
angles (deg): 90.00 90.00 90.00
Fractional coordinates of all 5 atoms:
1 O 0.5000 0.0000 0.8488
2 O 0.0000 0.5000 0.8488
3 O 0.5000 0.5000 0.4575
4 Sc 0.0000 0.0000 0.6744
5 Nd 0.5000 0.5000 0.0704

***

# 9
DFT (PBE) results for a relaxed LiZn2Pt crystal.

Values from the calculation:
SG: P6_3/mmc (194)
Energy (eV/atom): -2.82
Mass density (Mg/m³): 9.4

a b c (Å): 4.1574 4.1574 7.8545
angles (deg): 90.00 90.00 120.00
Fractional coordinates of all 8 atoms:
1 Zn 0.6667 0.3333 0.9159
2 Zn 0.6667 0.3333 0.5841
3 Zn 0.3333 0.6667 0.0841
4 Zn 0.3333 0.6667 0.4159
5 Li 0.3333 0.6667 0.7500
6 Li 0.6667 0.3333 0.2500
7 Pt 0.0000 0.0000 0.7500
8 Pt 0.0000 0.0000 0.2500

***

# 10
DFT (PBE) results for a relaxed Nb4GeSN2 crystal.

Values from the calculation:
SG: P-6m2 (187)
Energy (eV/atom): -8.96
Mass density (Mg/m³): 7.5

a b c (Å): 3.2665 3.2665 12.0953
angles (deg): 90.00 90.00 120.00
Fractional coordinates of all 8 atoms:
1 Nb 0.6667 0.3333 0.3513
2 Nb 0.6667 0.3333 0.6487
3 Nb 0.0000 0.0000 0.1646
4 Nb 0.0000 0.0000 0.8354
5 S 0.0000 0.0000 0.5000
6 Ge 0.6667 0.3333 0.0000
7 N 0.3333 0.6667 0.7444
8 N 0.3333 0.6667 0.2556

***

# 11
DFT (PBE) results for a relaxed Sm4Dy4B3 crystal.

Values from the calculation:
SG: P-1 (2)
Energy (eV/atom): -5.18
Mass density (Mg/m³): 7.5

a b c (Å): 3.5553 6.3215 13.2050
angles (deg): 88.04 82.77 74.55
Fractional coordinates of all 11 atoms:
1 Sm 0.8328 0.2625 0.5753
2 Sm 0.1672 0.7375 0.4247
3 Sm 0.3511 0.2794 0.0692
4 Sm 0.6489 0.7206 0.9308
5 Dy 0.2150 0.1833 0.8267
6 Dy 0.0486 0.7659 0.6833
7 Dy 0.9514 0.2341 0.3167
8 Dy 0.7850 0.8167 0.1733
9 B 0.4890 0.0686 0.4451
10 B 0.0000 0.0000 0.0000
11 B 0.5110 0.9314 0.5549

***

# 12
DFT (PBE) results for a relaxed PmErB4 crystal.

Values from the calculation:
SG: P6/mmm (191)
Excess energy over the best structure of this formula in the dataset (eV per formula unit): 0.000
Energy (eV/atom): -6.49
Mass density (Mg/m³): 7.9

a b c (Å): 3.3002 3.3002 7.8875
angles (deg): 90.00 90.00 120.00
Fractional coordinates of all 6 atoms:
1 B 0.6667 0.3333 0.2619
2 B 0.6667 0.3333 0.7381
3 B 0.3333 0.6667 0.2619
4 B 0.3333 0.6667 0.7381
5 Pm 0.0000 0.0000 0.0000
6 Er 0.0000 0.0000 0.5000

***

Please write out number 11 again, unchanged.
DFT (PBE) results for a relaxed Sm4Dy4B3 crystal.

Values from the calculation:
SG: P-1 (2)
Energy (eV/atom): -5.18
Mass density (Mg/m³): 7.5

a b c (Å): 3.5553 6.3215 13.2050
angles (deg): 88.04 82.77 74.55
Fractional coordinates of all 11 atoms:
1 Sm 0.8328 0.2625 0.5753
2 Sm 0.1672 0.7375 0.4247
3 Sm 0.3511 0.2794 0.0692
4 Sm 0.6489 0.7206 0.9308
5 Dy 0.2150 0.1833 0.8267
6 Dy 0.0486 0.7659 0.6833
7 Dy 0.9514 0.2341 0.3167
8 Dy 0.7850 0.8167 0.1733
9 B 0.4890 0.0686 0.4451
10 B 0.0000 0.0000 0.0000
11 B 0.5110 0.9314 0.5549

***

Repeat the fourth record exactly.
DFT (PBE) results for a relaxed TmSnTe3Au crystal.

Values from the calculation:
SG: Pnma (62)
Excess energy over the best structure of this formula in the dataset (eV per formula unit): 0.026
Energy (eV/atom): -4.16
Mass density (Mg/m³): 8.3

a b c (Å): 11.0900 4.2654 14.6470
angles (deg): 90.00 90.00 90.00
Fractional coordinates of all 24 atoms:
1 Te 0.9308 0.2500 0.5964
2 Te 0.5351 0.2500 0.6085
3 Te 0.4308 0.2500 0.9036
4 Te 0.4649 0.7500 0.3915
5 Te 0.2311 0.7500 0.6541
6 Te 0.9649 0.7500 0.1085
7 Te 0.5692 0.7500 0.0964
8 Te 0.0351 0.2500 0.8915
9 Te 0.7311 0.7500 0.8459
10 Te 0.0692 0.7500 0.4036
11 Te 0.7689 0.2500 0.3459
12 Te 0.2689 0.2500 0.1541
13 Au 0.7468 0.2500 0.7204
14 Au 0.7532 0.7500 0.2204
15 Au 0.2468 0.2500 0.7796
16 Au 0.2532 0.7500 0.2796
17 Tm 0.5224 0.2500 0.2437
18 Tm 0.4776 0.7500 0.7563
19 Tm 0.9776 0.7500 0.7437
20 Tm 0.0224 0.2500 0.2563
21 Sn 0.7783 0.2500 0.0236
22 Sn 0.2217 0.7500 0.9764
23 Sn 0.2783 0.2500 0.4764
24 Sn 0.7217 0.7500 0.5236